Entry 1:
First-principles (meta-GGA SCAN) data for a crystal of ZnTe2P relaxed with PBEsol, as listed in Alexandria via LeMat-Bulk.

Lattice parameters (Å, degrees): 3.766 3.766 8.323 103.08 103.08 90.00
Fractional positions:
P  0.250  0.750  0.500
Te  0.000  0.000  0.000
Te  0.750  0.250  0.500
Zn  0.500  0.500  0.000

Summary:
- Symmetry: I-4m2 (119)
- Excess energy over the best structure of this formula in the dataset: 83 meV/atom
- DFT total energy: -24.278 eV per atom
- ΔE_f (raw): 126 kJ/mol of formula units



Entry 2:
First-principles (meta-GGA SCAN) data for a crystal of Tm2InCu2 relaxed with PBEsol, as listed in Alexandria via LeMat-Bulk.

Lattice parameters (Å, degrees): 3.644 7.310 7.310 90.00 90.00 90.00
Fractional positions:
Tm  0.500  0.172  0.672
Tm  0.500  0.328  0.172
Tm  0.500  0.672  0.828
Tm  0.500  0.828  0.328
Cu  0.000  0.122  0.378
Cu  0.000  0.378  0.878
Cu  0.000  0.622  0.122
Cu  0.000  0.878  0.622
In  0.000  0.000  0.000
In  0.000  0.500  0.500

Summary:
- Calculated formation energy: -0.498 eV per atom
- Symmetry: P4/mbm (127)
- DFT total energy: -33.988 eV per atom



Entry 3:
First-principles (meta-GGA SCAN) data for a crystal of Rb2CdPb2 relaxed with PBEsol, as listed in Alexandria via LeMat-Bulk.

Lattice parameters (Å, degrees): 4.778 4.778 8.772 105.80 105.80 90.00
Fractional positions:
Pb  0.414  0.414  0.828
Pb  0.586  0.586  0.172
Rb  0.250  0.750  0.500
Rb  0.750  0.250  0.500
Cd  0.000  0.000  0.000

Summary:
- Calculated formation energy: 0.219 eV per atom
- Symmetry: I4/mmm (139)
- DFT total energy: -44.472 eV per atom



Entry 4:
First-principles (meta-GGA SCAN) data for a crystal of KAlCo2Rh relaxed with PBEsol, as listed in Alexandria via LeMat-Bulk.

Lattice parameters (Å, degrees): 4.673 4.699 4.699 90.00 90.00 90.00
Site moments in Bohr magnetons follow the coordinates.
Fractional positions:
Co  0.000  0.000  0.500  2.24
Co  0.000  0.500  0.000  2.24
K  0.500  0.500  0.500  -0.01
Rh  0.000  0.000  0.000  0.45
Al  0.500  0.000  0.000  -0.02

Summary:
- Calculated formation energy: 0.419 eV per atom
- Symmetry: P4/mmm (123)
- DFT total energy: -16.473 eV per atom



Entry 5:
First-principles (meta-GGA SCAN) data for a crystal of AgP2Cl relaxed with PBEsol, as listed in Alexandria via LeMat-Bulk.

Lattice parameters (Å, degrees): 4.510 4.510 4.510 60.00 60.00 60.00
Fractional positions:
Ag  0.000  0.000  0.000
Cl  0.500  0.500  0.500
P  0.250  0.250  0.250
P  0.750  0.750  0.750

Summary:
- Symmetry: Fm-3m (225)
- Excess energy over the best structure of this formula in the dataset: 1076 meV/atom
- DFT total energy: -14.111 eV per atom
- ΔE_f (raw): 357 kJ/mol of formula units



Entry 6:
First-principles (meta-GGA SCAN) data for a crystal of TcPtRh3 relaxed with PBEsol, as listed in Alexandria via LeMat-Bulk.

Lattice parameters (Å, degrees): 4.654 4.654 4.654 90.00 90.00 90.00
Site moments in Bohr magnetons follow the coordinates.
Fractional positions:
Rh  0.000  0.500  0.000  0.86
Rh  0.000  0.000  0.500  0.86
Rh  0.500  0.000  0.000  0.86
Tc  0.500  0.500  0.500  3.86
Pt  0.000  0.000  0.000  0.74

Summary:
- Calculated formation energy: 1.761 eV per atom
- Symmetry: Pm-3m (221)
- DFT total energy: -39.553 eV per atom